First-principles (PBE) data for a relaxed Rb3Cd2Au crystal, as listed in Alexandria via LeMat-Bulk.

It has space group Ibam (No. 72), with a = 9.8877 Å, b = 14.5470 Å, c = 7.8543 Å, α = 90.00°, β = 90.00° and γ = 90.00°. The distinct sites, in fractional coordinates, are Rb at (0.0000, 0.0000, 0.2500), Rb at (0.1501, 0.3161, 0.0000), Cd at (0.1855, 0.4296, 0.5000) and Au at (0.0000, 0.5000, 0.2500).

Its crystal system is orthorhombic. The value obtained for the relative energy among the computed polymorphs is 2 meV per atom. As for the formation energy: -0.12 eV per atom. The calculation puts the density of states at the Fermi level at 12.131 states/eV per cell.